No. 1
VRhSeN2 (PBE, optimized geometry); E above lowest polymorph = 656 meV/atom; formation energy (no corrections) = 1.194 eV/atom; D(E_F) = 9.5 states/eV/f.u.; DFT total energy = -6.127 eV per atom
1.0
3.7720 0.0000 0.0000
0.0000 3.7720 0.0000
0.0000 0.0000 5.5318
N Rh Se V
2 1 1 1
Direct
0.0000 0.5000 0.0000
0.5000 0.0000 0.0000
0.0000 0.0000 0.0000
0.0000 0.0000 0.5000
0.5000 0.5000 0.5000

---

No. 2
FeCuTeAsOs (PBE, optimized geometry); E above lowest polymorph = 133 meV/atom; formation energy (no corrections) = 0.250 eV/atom; D(E_F) = 5.8 states/eV/f.u.; DFT total energy = -6.066 eV per atom
1.0
-1.3474 1.7664 -3.3718
-2.5903 -1.8532 2.4821
-0.7366 4.7714 2.7939
As Te Os Fe Cu
1 1 1 1 1
Direct
0.6667 0.3333 0.7025
0.3333 0.6667 0.2278
0.0000 0.0000 0.4660
0.3333 0.6667 0.7691
0.0000 0.0000 0.9720

---

No. 3
CaTl4Hg5 (PBE, optimized geometry); E above lowest polymorph = 44 meV/atom; D(E_F) = 5.0 states/eV/f.u.; DFT total energy = -1.384 eV per atom
1.0
6.3805 0.0000 0.0000
3.1903 6.8370 0.0000
3.1903 0.0000 6.8370
Ca Tl Hg
1 4 5
Direct
0.2017 0.0000 0.0000
0.3750 0.3967 0.7615
0.7717 0.7615 0.6033
0.1365 0.2385 0.3967
0.5332 0.6033 0.2385
0.8436 0.3726 0.8416
0.2161 0.8416 0.6274
0.6852 0.1584 0.3726
0.0577 0.6274 0.1584
0.6898 0.0000 0.0000

---

No. 4
Ho2ScGa4Pd3 (PBE, optimized geometry); D(E_F) = 5.8 states/eV/f.u.; DFT total energy = -5.053 eV per atom
1.0
-0.8000 -0.4309 3.8785
-3.4311 -1.8083 -0.9087
5.6931 -10.7899 -0.0245
Ho Sc Ga Pd
2 1 4 3
Direct
0.5000 0.0000 0.2360
0.0000 0.5000 0.7640
0.5000 0.5000 0.5000
0.5000 0.5000 0.0000
0.0000 0.0000 0.0000
0.5000 0.0000 0.6559
0.0000 0.5000 0.3441
0.0000 0.0000 0.5000
0.5000 0.0000 0.8612
0.0000 0.5000 0.1388

---

No. 5
Pr4HgGeTe2 (PBE, optimized geometry); formation energy (no corrections) = -1.051 eV/atom; D(E_F) = 5.5 states/eV/f.u.; DFT total energy = -4.841 eV per atom
1.0
-4.1285 -1.4188 -0.6906
1.8825 -6.8705 2.8609
-2.5572 4.5534 5.9327
Pr Hg Ge Te
4 1 1 2
Direct
0.5000 0.2323 0.2321
0.5000 0.7677 0.7679
0.0000 0.2404 0.7544
0.0000 0.7596 0.2456
0.5000 0.5000 0.0000
0.0000 0.0000 0.0000
0.5000 0.0000 0.5000
0.0000 0.5000 0.5000

---

No. 6
ZrTe2I2 (PBE, optimized geometry); formation energy (no corrections) = -0.720 eV/atom; DFT total energy = -4.306 eV per atom
1.0
-5.0660 5.4488 -0.8068
-4.1094 2.2303 6.1582
3.8432 7.0739 1.4559
Zr Te I
2 4 4
Direct
0.1385 0.7230 0.0000
0.8615 0.2770 0.0000
0.9054 0.0000 0.3045
0.6775 0.0000 0.0990
0.3225 0.0000 0.9010
0.0946 0.0000 0.6955
0.5402 0.4264 0.7789
0.4598 0.5736 0.2211
0.9665 0.5736 0.7789
0.0335 0.4264 0.2211

---

No. 7
Cs4H3F2 (PBE, optimized geometry); DFT total energy = -2.938 eV per atom
1.0
3.3703 -5.6108 -5.2223
5.1582 5.4402 -3.7296
5.0624 -1.6373 6.0576
Cs H F
8 6 4
Direct
0.7404 0.9952 0.4760
0.0048 0.2596 0.0240
0.2596 0.0048 0.5240
0.9952 0.7404 0.9760
0.4922 0.7352 0.0446
0.2648 0.5078 0.4554
0.5078 0.2648 0.9554
0.7352 0.4922 0.5446
0.7541 0.0302 0.1109
0.9698 0.2459 0.3891
0.2459 0.9698 0.8891
0.0302 0.7541 0.6109
0.7875 0.2125 0.2500
0.2125 0.7875 0.7500
0.5049 0.7501 0.4074
0.2499 0.4951 0.0926
0.4951 0.2499 0.5926
0.7501 0.5049 0.9074

---

No. 8
BaLaCr2P (PBE, optimized geometry); D(E_F) = 7.7 states/eV/f.u.; DFT total energy = -4.661 eV per atom
1.0
-4.1458 1.6090 -1.0339
-2.6170 -4.8759 2.9058
-0.0586 2.3603 3.9078
Cr Ba P La
2 1 1 1
Direct
0.0000 0.0000 0.5000
0.5000 0.0000 0.0000
0.0000 0.5000 0.0000
0.5000 0.5000 0.5000
0.0000 0.0000 0.0000

---

No. 9
RbCa2AuF (PBE, optimized geometry); formation energy (no corrections) = -1.097 eV/atom; D(E_F) = 2.7 states/eV/f.u.; DFT total energy = -3.121 eV per atom
1.0
-2.9572 -3.4354 -2.0442
3.6565 -3.8354 1.1561
-2.1779 -0.7478 4.4072
Ca Au Rb F
2 1 1 1
Direct
0.0000 0.0000 0.5000
0.5000 0.0000 0.0000
0.5000 0.5000 0.5000
0.0000 0.5000 0.0000
0.0000 0.0000 0.0000

---

No. 10
KWAu2 (PBE, optimized geometry); E above lowest polymorph = 181 meV/atom; D(E_F) = 3.3 states/eV/f.u.; DFT total energy = -4.589 eV per atom
1.0
5.7668 0.0026 0.0429
5.1214 2.6508 0.0429
-0.0572 -0.0140 5.3186
Au K W
2 1 1
Direct
0.0171 0.0171 0.8759
0.2390 0.2390 0.3741
0.4914 0.4914 0.3757
0.7525 0.7525 0.8743

---

No. 11
MnAlAg (PBE, optimized geometry); E above lowest polymorph = 0 meV/atom; D(E_F) = 1.6 states/eV/f.u.; DFT total energy = -5.249 eV per atom
1.0
5.9933 -0.0081 0.0086
5.3249 2.7503 0.0011
0.6685 0.1688 2.7532
Mn Al Ag
1 1 1
Direct
0.6788 0.6788 0.3212
0.3220 0.3220 0.6780
0.9992 0.9992 0.0008

---

No. 12
Cs2Na2Ag (PBE, optimized geometry); E above lowest polymorph = 0 meV/atom; D(E_F) = 2.7 states/eV/f.u.; DFT total energy = -1.336 eV per atom
1.0
-0.8972 -5.4381 -6.6787
2.4388 -6.6004 5.0467
-6.3577 -1.0453 1.7052
Cs Na Ag
4 4 2
Direct
0.1917 0.6917 0.5000
0.6917 0.8083 0.5000
0.8083 0.3083 0.5000
0.3083 0.1917 0.5000
0.3534 0.8534 0.0000
0.8534 0.6466 0.0000
0.6466 0.1466 0.0000
0.1466 0.3534 0.0000
0.0000 0.0000 0.0000
0.5000 0.5000 0.0000

---

- Which value of DFT total energy does entry 11 give?
  -5.249 eV per atom

---

- What is the DFT total energy in the eleventh record?
  -5.249 eV per atom

---

Please write out number 8 again, unchanged.
BaLaCr2P (PBE, optimized geometry); D(E_F) = 7.7 states/eV/f.u.; DFT total energy = -4.661 eV per atom
1.0
-4.1458 1.6090 -1.0339
-2.6170 -4.8759 2.9058
-0.0586 2.3603 3.9078
Cr Ba P La
2 1 1 1
Direct
0.0000 0.0000 0.5000
0.5000 0.0000 0.0000
0.0000 0.5000 0.0000
0.5000 0.5000 0.5000
0.0000 0.0000 0.0000

---

- Which of these has the lowest DFT total energy?
  VRhSeN2